Below is a PBEsol-optimized structure of PbWAu2, with properties calculated at the SCAN level.

Values from the calculation:
**Formation enthalpy at 0 K**: 604 meV/atom
**Magnetic moment**: 0.5 μB per formula unit
**D(E_F)**: 1.48 states/eV per cell

Lattice parameters (Å, degrees): 6.0520 6.0520 6.0520 152.16 132.23 56.20
Last column: nearest neighbours and their distance in Å.
Positions (direct):
Pb 0.0000 0.0000 0.0000  4 W 2.85, 2 Pb 2.91
W 0.5000 0.5000 0.0000  4 Au 2.80, 4 Pb 2.85, 2 W 2.91
Au 0.2762 0.7762 0.5000  2 W 2.80, 6 Au 2.90-2.91
Au 0.7238 0.2238 0.5000  2 W 2.80, 6 Au 2.90-2.91